Entry 1
The following is a DFT calculation (PBE-GGA) of an optimized crystal structure of HoMg3Cd3.

Geometry as CIF:
```
data_HoMg3Cd3
_chemical_formula_sum 'Ho2 Mg6 Cd6'
_space_group_name_H-M_alt 'P m -3 n'
_space_group_IT_number 223
_space_group_name_Hall '-P 4n 2 3'
_cell_length_a 7.5299
_cell_length_b 7.5299
_cell_length_c 7.5299
_cell_angle_alpha 90.00
_cell_angle_beta 90.00
_cell_angle_gamma 90.00
loop_
_atom_site_label
_atom_site_type_symbol
_atom_site_fract_x
_atom_site_fract_y
_atom_site_fract_z
_atom_site_occupancy
Ho1 Ho 0.0000 0.0000 0.0000 1
Mg1 Mg 0.0000 0.2500 0.5000 1
Cd1 Cd 0.0000 0.5000 0.2500 1
```

Calculated values
calculated density: 4.47 g/cm³
M_tot: 0.00 μB/f.u.

***

Entry 2
The following is a DFT calculation (PBE-GGA) of an optimized crystal structure of HoMg3Cd3.

Geometry as CIF:
```
data_HoMg3Cd3
_chemical_formula_sum 'Ho4 Mg12 Cd12'
_space_group_name_H-M_alt 'P 21 3'
_space_group_IT_number 198
_space_group_name_Hall 'P 2ac 2ab 3'
_cell_length_a 8.7008
_cell_length_b 8.7008
_cell_length_c 8.7008
_cell_angle_alpha 90.00
_cell_angle_beta 90.00
_cell_angle_gamma 90.00
loop_
_atom_site_label
_atom_site_type_symbol
_atom_site_fract_x
_atom_site_fract_y
_atom_site_fract_z
_atom_site_occupancy
Ho1 Ho 0.0478 0.4522 0.5478 1
Mg1 Mg 0.1298 0.6298 0.8702 1
Mg2 Mg 0.1692 0.1692 0.1692 1
Mg3 Mg 0.1909 0.8091 0.3091 1
Cd1 Cd 0.0066 0.3124 0.8963 1
```

Calculated values
calculated density: 5.80 g/cm³
M_tot: 0.00 μB/f.u.

***

Best to worst by energy: entry 2, entry 1.